Density functional theory data (SCAN) for a crystal of BaSiOs2 relaxed with PBEsol.

total moment = 0.013 μB per cell
energy relative to the elements, uncorrected = 1.453 eV per atom

Unit cell a=4.561 b=4.794 c=4.561 alpha=61.59 beta=90.00 gamma=118.41
Fractional positions:
Si  0.500  0.000  0.500
Ba  0.750  0.500  0.750
Os  0.000  0.000  0.000
Os  0.250  0.500  0.250

---

Density functional theory data (SCAN) for a crystal of BaSiOs3 relaxed with PBEsol.

energy relative to the lowest polymorph listed for this composition = 3144 meV per atom
total moment = 4.204 μB per cell
energy relative to the elements, uncorrected = 4.189 eV per atom

Unit cell a=4.970 b=4.970 c=4.970 alpha=90.00 beta=90.00 gamma=90.00
Last column: magnetic moment on the atom in μB.
Fractional positions:
Ba  0.000  0.000  0.000  -0.06
Os  0.500  0.000  0.000  1.35
Os  0.000  0.000  0.500  1.35
Os  0.000  0.500  0.000  1.35
Si  0.500  0.500  0.500  -0.08

---

Density functional theory data (SCAN) for a crystal of Ba4SiOs relaxed with PBEsol.

total moment = 1.288 μB per cell
energy relative to the elements, uncorrected = 1.317 eV per atom

Unit cell a=6.546 b=6.546 c=6.546 alpha=60.00 beta=60.00 gamma=60.00
Last column: magnetic moment on the atom in μB.
Fractional positions:
Ba  0.375  0.375  0.874  -0.14
Ba  0.375  0.874  0.375  -0.14
Ba  0.874  0.375  0.375  -0.14
Ba  0.375  0.375  0.375  -0.14
Si  0.000  0.000  0.000  0.10
Os  0.750  0.750  0.750  1.72

---

Density functional theory data (SCAN) for a crystal of Ba2SiOs relaxed with PBEsol.

total moment = 0.000 μB per cell
energy relative to the elements, uncorrected = -0.041 eV per atom

Unit cell a=4.184 b=4.870 c=6.359 alpha=112.51 beta=90.00 gamma=90.00
Fractional positions:
Ba  0.000  0.108  0.215
Ba  0.500  0.395  0.791
Os  0.000  0.795  0.591
Si  0.500  0.706  0.412